Entry 1:
TaCuP2 PBE-GGA optimized geometry; energy = -6.62 eV per atom
1.0
-3.9307 -0.5347 1.7790
-3.5741 0.6983 -2.3747
-2.4956 -3.3486 -1.2083
Ta P Cu
1 2 1
Direct
0.5000 0.5000 0.5000 Ta
0.7500 0.7500 0.7500 P
0.2500 0.2500 0.2500 P
0.0000 0.0000 0.0000 Cu


Entry 2:
Ta2CuP PBE-GGA optimized geometry; energy = -8.41 eV per atom
1.0
-3.3352 0.1165 0.7758
-0.7326 -1.6745 -2.8979
0.4358 -4.6387 2.5702
P Ta Cu
1 2 1
Direct
0.5000 0.5000 0.7614 P
0.5000 0.5000 0.2696 Ta
0.0000 0.0000 0.9798 Ta
0.0000 0.0000 0.4891 Cu


Entry 3:
TaCuP2 PBE-GGA optimized geometry; energy = -6.32 eV per atom
1.0
4.3490 0.0000 0.0000
2.1745 3.7664 0.0000
2.1745 1.2555 3.5510
P Cu Ta
2 1 1
Direct
0.7500 0.7500 0.7500 P
0.0000 0.0000 0.0000 P
0.5000 0.5000 0.5000 Cu
0.2500 0.2500 0.2500 Ta


Entry 4:
Ta3CuP PBE-GGA optimized geometry; energy = -8.42 eV per atom
1.0
4.5689 0.0000 0.0000
0.0000 4.5689 0.0000
0.0000 0.0000 4.5689
Ta P Cu
3 1 1
Direct
0.0000 0.0000 0.5000 Ta
0.5000 0.0000 0.0000 Ta
0.0000 0.5000 0.0000 Ta
0.0000 0.0000 0.0000 P
0.5000 0.5000 0.5000 Cu


Entry 5:
TaCuP PBE-GGA optimized geometry; energy = -7.16 eV per atom
1.0
-0.4235 -4.6922 2.0659
2.2460 -3.3804 2.9130
-1.4941 0.1455 2.7039
P Cu Ta
1 1 1
Direct
0.3470 0.3470 0.6530 P
0.9821 0.9821 0.0179 Cu
0.6709 0.6709 0.3291 Ta


Entry 6:
TaCuP2 PBE-GGA optimized geometry; energy = -6.59 eV per atom
1.0
5.2153 0.0058 0.0155
-2.4910 4.1768 0.0051
0.2333 1.0205 2.7495
Ta Cu P
1 1 2
Direct
0.0000 0.5000 0.5000 Ta
0.5000 0.5000 0.0000 Cu
0.0000 0.0000 0.0000 P
0.5000 0.0000 0.5000 P


Entry 7:
Ta2CuP PBE-GGA optimized geometry; energy = -7.45 eV per atom
1.0
5.5360 0.0000 0.0000
0.0000 5.5360 0.0000
2.7680 2.7680 5.6244
P Ta Cu
2 4 2
Direct
0.5000 0.5000 0.0000 P
0.2500 0.7500 0.5000 P
0.1224 0.6250 0.2500 Ta
0.3750 0.3724 0.7500 Ta
0.8750 0.8776 0.7500 Ta
0.6276 0.1250 0.2500 Ta
0.0000 0.0000 0.0000 Cu
0.7500 0.2500 0.5000 Cu


Entry 8:
TaCuP2 PBE-GGA optimized geometry; energy = -6.76 eV per atom
1.0
5.1301 0.0235 0.0000
2.6151 4.4135 0.0000
-3.8726 -2.2185 2.5297
Cu Ta P
1 1 2
Direct
0.7500 0.2500 0.5000 Cu
0.5000 0.5000 0.0000 Ta
0.0000 0.0000 0.0000 P
0.2500 0.7500 0.5000 P


Entry 9:
TaCuP2 PBE-GGA optimized geometry; energy = -6.91 eV per atom
1.0
3.1604 -0.0248 -0.5248
1.5566 2.7506 -0.5248
-0.2899 -0.1675 8.0648
Cu P Ta
1 2 1
Direct
0.2500 0.2500 0.2500 Cu
0.1565 0.1565 0.9680 P
0.3435 0.3435 0.5320 P
0.7500 0.7500 0.7500 Ta


Entry 10:
Ta2CuP PBE-GGA optimized geometry; energy = -8.48 eV per atom
1.0
-0.3794 1.9838 -2.9610
2.3196 -1.3424 -1.1966
-2.1021 -4.8528 -2.9819
Ta P Cu
2 1 1
Direct
0.0000 0.5622 0.5068 Ta
0.0000 0.9378 0.9932 Ta
0.5000 0.7500 0.7500 P
0.5000 0.2500 0.2500 Cu


Entry 11:
TaCuP2 PBE-GGA optimized geometry; energy = -6.62 eV per atom
1.0
2.9715 -0.0005 0.0000
-0.8614 2.8439 0.0000
0.0000 0.0000 7.1655
Cu P Ta
1 2 1
Direct
0.5000 0.5000 0.7500 Cu
0.0000 0.0000 0.5026 P
0.0000 0.0000 0.9974 P
0.5000 0.5000 0.2500 Ta


Entry 12:
TaCuP2 PBE-GGA optimized geometry; energy = -6.54 eV per atom
1.0
2.7821 0.0108 0.0000
-0.4674 2.7426 0.0000
0.0000 0.0000 9.2057
P Ta Cu
2 1 1
Direct
0.0000 0.0000 0.9134 P
0.5000 0.5000 0.3193 P
0.0000 0.0000 0.5242 Ta
0.5000 0.5000 0.7431 Cu


Entry 13:
TaCuP PBE-GGA optimized geometry; energy = -7.23 eV per atom
1.0
-1.9881 -0.2849 -3.2573
-1.3223 -1.6337 3.1978
-1.6241 2.7791 0.7482
Ta P Cu
1 1 1
Direct
0.3333 0.6667 0.6667 Ta
0.6667 0.3333 0.1666 P
0.0000 0.0000 0.1667 Cu


Entry 14:
TbCu4P2 PBE-GGA optimized geometry; energy = -5.10 eV per atom
1.0
-3.0666 1.7797 1.3595
-1.0831 -5.4471 4.6875
4.1470 3.3978 4.9066
P Cu Tb
4 8 2
Direct
0.0000 0.2132 0.7868 P
0.0000 0.7868 0.2132 P
0.5000 0.2868 0.2868 P
0.5000 0.7132 0.7132 P
0.0000 0.3351 0.0842 Cu
0.0000 0.6649 0.9158 Cu
0.5000 0.1649 0.5842 Cu
0.0000 0.9158 0.6649 Cu
0.0000 0.0842 0.3351 Cu
0.5000 0.5842 0.1649 Cu
0.5000 0.8351 0.4158 Cu
0.5000 0.4158 0.8351 Cu
0.0000 0.5000 0.5000 Tb
0.5000 0.0000 0.0000 Tb


Entry 15:
Tb2Cu2P3 PBE-GGA optimized geometry; energy = -5.77 eV per atom
1.0
3.8679 0.0000 0.8574
1.7877 7.2459 1.0884
0.0182 -0.0389 9.0716
Tb Cu P
4 4 6
Direct
0.3948 0.2696 0.9408 Tb
0.6052 0.7304 0.0592 Tb
0.7366 0.8679 0.6589 Tb
0.2634 0.1321 0.3411 Tb
0.5877 0.4772 0.3474 Cu
0.0480 0.2224 0.6815 Cu
0.9520 0.7776 0.3185 Cu
0.4123 0.5228 0.6526 Cu
0.8408 0.5102 0.8081 P
0.0766 0.9694 0.8774 P
0.6132 0.2353 0.5383 P
0.9234 0.0306 0.1226 P
0.3868 0.7647 0.4617 P
0.1592 0.4898 0.1919 P


Entry 16:
Tb8CuTe4P3 PBE-GGA optimized geometry; ΔE_f (raw) = -1337 meV/atom
1.0
-3.6934 6.3134 3.9579
3.0441 -2.8718 7.4217
5.2847 1.5249 -6.2386
P Te Tb Cu
3 4 8 1
Direct
0.5000 0.5000 0.5000 P
0.5000 0.5000 0.0000 P
0.0000 0.5000 0.5000 P
0.0000 0.0000 0.5000 Te
0.5000 0.0000 0.0000 Te
0.5000 0.0000 0.5000 Te
0.0000 0.0000 0.0000 Te
0.2400 0.7158 0.4800 Tb
0.7600 0.2842 0.0242 Tb
0.7358 0.7158 0.9758 Tb
0.2400 0.7158 0.9758 Tb
0.2635 0.2905 0.5270 Tb
0.7365 0.7095 0.4730 Tb
0.7600 0.2842 0.5200 Tb
0.2642 0.2842 0.0242 Tb
0.0000 0.5000 0.0000 Cu


Entry 17:
Cu2TcP2 PBE-GGA optimized geometry; energy = -5.68 eV per atom
1.0
-1.7217 -2.1629 -1.6448
1.5912 -2.3809 1.4654
-4.5292 -2.3313 4.6610
Cu Tc P
2 1 2
Direct
0.7500 0.2500 0.5000 Cu
0.2500 0.7500 0.5000 Cu
0.0000 0.0000 0.0000 Tc
0.3969 0.3969 0.2062 P
0.6031 0.6031 0.7938 P


Entry 18:
CuTcP2 PBE-GGA optimized geometry; energy = -5.81 eV per atom
1.0
4.2363 0.0000 0.0000
2.1182 3.6688 0.0000
2.1182 1.2229 3.4590
Cu Tc P
1 1 2
Direct
0.5000 0.5000 0.5000 Cu
0.7500 0.7500 0.7500 Tc
0.0000 0.0000 0.0000 P
0.2500 0.2500 0.2500 P


Entry 19:
CuTc2P2 PBE-GGA optimized geometry; energy = -7.32 eV per atom
1.0
6.7404 0.0000 0.0000
0.0000 6.7404 0.0000
0.0000 0.0000 2.8992
P Tc Cu
4 4 2
Direct
0.1474 0.3526 0.0000 P
0.8526 0.6474 0.0000 P
0.6474 0.1474 0.0000 P
0.3526 0.8526 0.0000 P
0.1489 0.6489 0.5000 Tc
0.6489 0.8511 0.5000 Tc
0.8511 0.3511 0.5000 Tc
0.3511 0.1489 0.5000 Tc
0.0000 0.0000 0.0000 Cu
0.5000 0.5000 0.0000 Cu


Entry 20:
CuTc2P PBE-GGA optimized geometry; energy = -7.56 eV per atom
1.0
-3.8546 2.7590 -1.5070
-3.9589 -2.3180 -1.9222
2.9461 0.4198 3.9856
Cu P Tc
1 1 2
Direct
0.5265 0.5265 0.0000 Cu
0.7538 0.2538 0.5000 P
0.2455 0.7455 0.5000 Tc
0.9743 0.9743 0.0000 Tc


Entry 21:
CuTc3P PBE-GGA optimized geometry; energy = -7.45 eV per atom
1.0
-0.4974 -3.9477 1.7417
3.7938 -1.2354 -1.7166
2.0556 1.3247 3.5896
Tc Cu P
3 1 1
Direct
0.0000 0.0000 0.5000 Tc
0.5000 0.0000 0.0000 Tc
0.0000 0.5000 0.0000 Tc
0.5000 0.5000 0.5000 Cu
0.0000 0.0000 0.0000 P


Entry 22:
CuTc2P PBE-GGA optimized geometry; energy = -7.36 eV per atom
1.0
-1.1614 7.1022 0.1070
-5.4453 -0.9599 4.6074
-1.8311 3.2850 4.1418
Cu Tc P
2 4 2
Direct
0.0000 0.0000 0.0000 Cu
0.7500 0.2500 0.5000 Cu
0.5541 0.1250 0.2500 Tc
0.3750 0.4459 0.7500 Tc
0.8750 0.8041 0.7500 Tc
0.1959 0.6250 0.2500 Tc
0.5000 0.5000 0.0000 P
0.2500 0.7500 0.5000 P


Entry 23:
CuTcP2 PBE-GGA optimized geometry; energy = -6.18 eV per atom
1.0
0.5526 -4.0665 -0.9253
-2.2098 -2.9408 2.0411
-3.0224 -2.1303 -2.0062
Cu P Tc
1 2 1
Direct
0.0000 0.0000 0.0000 Cu
0.2500 0.2500 0.2500 P
0.7500 0.7500 0.7500 P
0.5000 0.5000 0.5000 Tc


Entry 24:
CuTc2P PBE-GGA optimized geometry; energy = -7.63 eV per atom
1.0
-0.2352 2.0364 2.0829
-2.5777 -1.1187 0.8027
2.8696 -3.7494 3.9898
Cu Tc P
1 2 1
Direct
0.5000 0.5000 0.2500 Cu
0.0000 0.0000 0.9685 Tc
0.0000 0.0000 0.5315 Tc
0.5000 0.5000 0.7500 P


Entry 25:
CuTc2P PBE-GGA optimized geometry; energy = -7.57 eV per atom
1.0
2.9151 0.0000 0.0000
0.0000 2.9151 0.0000
0.0000 0.0000 6.2600
Cu Tc P
1 2 1
Direct
0.0000 0.0000 0.5287 Cu
0.0000 0.0000 0.9692 Tc
0.5000 0.5000 0.2520 Tc
0.5000 0.5000 0.7501 P


Entry 26:
CuTc2P PBE-GGA optimized geometry; energy = -7.56 eV per atom
1.0
-0.4551 -4.8174 1.3651
1.8950 -3.4502 -3.1278
0.9908 4.0079 2.8694
Cu Tc P
1 2 1
Direct
0.2500 0.7500 0.5000 Cu
0.5391 0.5391 0.0000 Tc
0.9609 0.9609 0.0000 Tc
0.7500 0.2500 0.5000 P


Entry 27:
CuTcP2 PBE-GGA optimized geometry; energy = -6.38 eV per atom
1.0
-1.7380 -0.0760 -2.4721
-1.8144 -2.0142 1.3375
-3.2639 4.3746 2.1602
P Tc Cu
2 1 1
Direct
0.0000 0.0000 0.0151 P
0.0000 0.0000 0.4849 P
0.5000 0.5000 0.2500 Tc
0.5000 0.5000 0.7500 Cu


Entry 28:
CuTc2P PBE-GGA optimized geometry; energy = -7.25 eV per atom
1.0
-0.6486 1.1591 2.5838
-4.3694 0.1525 -1.1653
-0.5518 -3.8095 1.5704
Cu Tc P
1 2 1
Direct
0.5000 0.0000 0.5000 Cu
0.5000 0.5000 0.0000 Tc
0.0000 0.0000 0.0000 Tc
0.0000 0.5000 0.5000 P